Here is a relaxed GaHgSN2 crystal from Alexandria via LeMat-Bulk. Energies are from PBE.

```
data_GaHgSN2
_cell_length_a 3.934
_cell_length_b 3.934
_cell_length_c 5.381
_cell_angle_alpha 90.00
_cell_angle_beta 90.00
_cell_angle_gamma 90.00
_space_group_name_H-M_alt 'P 1'
_space_group_IT_number 1
loop_
_space_group_symop_operation_xyz
'x,y,z'
loop_
_atom_site_label
_atom_site_type_symbol
_atom_site_fract_x
_atom_site_fract_y
_atom_site_fract_z
Hg1 Hg 0.500 0.500 0.500
S1 S 0.000 0.000 0.500
N1 N 0.500 0.000 0.000
Ga1 Ga 0.000 0.000 0.000
N2 N 0.000 0.500 0.000
```

density	6587	kg/m³
SG	P4/mmm
offset from the most stable computed form	0.000	eV per atom
size of the total moment	3.3	μB/f.u.
D(E_F)	1.6	states/eV/f.u.
E_form (uncorrected)	1.16	eV/atom
volume	16.66	Å³/atom